[1]
Material: Sc7Fe
Method: DFT, PBE
State: optimized geometry

ΔH_f (0 K) (eV per atom): 0.147
ρ (g/cm3): 3.42
M_tot (μB/atom): 0.20
Space-group type: No. 225

```
Sc7Fe
1.0
0.000 4.480 4.480
4.480 0.000 4.480
4.480 4.480 0.000
Sc Fe
7 1
Direct
0.000 0.500 0.000
0.500 0.000 0.000
0.500 0.500 0.000
0.000 0.000 0.500
0.500 0.500 0.500
0.000 0.500 0.500
0.500 0.000 0.500
0.000 0.000 0.000
```

[2]
Material: Sc5Fe3
Method: DFT, PBE
State: optimized geometry

Excess energy over the best structure of this formula in the dataset (meV/atom): 0
ΔH_f (0 K) (eV per atom): -0.028
ρ (g/cm3): 4.53
M_tot (μB/atom): 0.20
Space-group type: No. 193

```
Sc5Fe3
1.0
7.576 0.000 0.000
3.788 6.561 0.000
0.000 0.000 5.785
Sc Fe
10 6
Direct
0.256 0.744 0.750
0.256 0.000 0.250
0.000 0.744 0.250
0.744 0.256 0.250
0.333 0.333 0.000
0.000 0.256 0.750
0.667 0.667 0.500
0.333 0.333 0.500
0.667 0.667 0.000
0.744 0.000 0.750
0.000 0.602 0.750
0.602 0.000 0.250
0.000 0.398 0.250
0.398 0.000 0.750
0.602 0.398 0.750
0.398 0.602 0.250
```